Record 1
VASP calculation (PBE-GGA) on crystalline PrTh14Sc at its relaxed geometry.

Geometry as extended XYZ:
```
16
Lattice="11.560 0.000 0.000 0.000 3.577 6.204 0.000 -3.577 6.204" Properties=species:S:1:pos:R:3 pbc="T T T"
Pr 0.000 0.000 0.000
Th 0.000 -1.809 9.248
Th 0.000 1.809 9.248
Th 2.866 0.000 8.231
Th 2.878 -1.773 5.143
Th 2.878 1.773 5.143
Th 2.922 0.000 2.046
Th 5.780 0.000 4.115
Th 5.780 -1.781 7.207
Th 5.780 1.781 7.207
Th 5.780 0.000 10.313
Th 8.637 0.000 2.046
Th 8.681 -1.773 5.143
Th 8.681 1.773 5.143
Th 8.694 0.000 8.231
Sc 0.000 0.000 6.193
```

Calculated values
Calculated formation energy: 0.04 eV/atom
Uncorrected energy: -114.3 eV/cell
Total moment: 0.0 Bohr magnetons per cell
Volume: 513 Å³/f.u.

---

Record 2
VASP calculation (PBE-GGA) on crystalline PrTh2Sc5 at its relaxed geometry.

Geometry as extended XYZ:
```
16
Lattice="5.152 0.000 0.000 0.000 9.228 0.000 0.000 0.000 10.058" Properties=species:S:1:pos:R:3 pbc="T T T"
Pr 0.000 0.000 0.000
Pr 2.576 4.614 5.029
Th 0.000 4.614 3.071
Th 0.000 4.614 6.988
Th 2.576 0.000 1.958
Th 2.576 0.000 8.100
Sc 0.000 1.508 3.349
Sc 0.000 1.508 6.709
Sc 0.000 4.614 0.000
Sc 0.000 7.720 3.349
Sc 0.000 7.720 6.709
Sc 2.576 0.000 5.029
Sc 2.576 3.106 1.680
Sc 2.576 3.106 8.378
Sc 2.576 6.122 1.680
Sc 2.576 6.122 8.378
```

Calculated values
Calculated formation energy: 0.37 eV/atom
Polymorph energy (0 for the lowest one): 288 meV per atom
Uncorrected energy: -96.6 eV/cell
Total moment: 0.0 Bohr magnetons per cell
Volume: 239 Å³/f.u.

---

Record 3
VASP calculation (PBE-GGA) on crystalline Pr2ThSc at its relaxed geometry.

Geometry as extended XYZ:
```
4
Lattice="3.594 0.000 0.000 0.000 3.594 0.000 0.000 0.000 9.956" Properties=species:S:1:pos:R:3 pbc="T T T"
Pr 0.000 0.000 2.416
Pr 0.000 0.000 7.541
Th 1.797 1.797 4.978
Sc 1.797 1.797 0.000
```

Calculated values
Calculated formation energy: 0.09 eV/atom
Polymorph energy (0 for the lowest one): 12 meV per atom
Uncorrected energy: -23.0 eV/cell
Total moment: 0.0 Bohr magnetons per cell
Volume: 129 Å³/f.u.